Material: In2TcRh
Method: DFT, PBEsol
State: optimized geometry

formation energy from the elements	0.14	eV/atom
N(E_F)	12.37	states/eV per cell
DFT total energy	-6.2016	eV per atom
magnetic moment	0.0	μB per cell

```
data_In2TcRh
_chemical_formula_sum 'In6 Tc3 Rh3'
_space_group_name_H-M_alt 'R -3 m'
_space_group_IT_number 166
_space_group_name_Hall '-R 3 2"'
_cell_length_a 2.9999
_cell_length_b 2.9999
_cell_length_c 25.9034
_cell_angle_alpha 90.00
_cell_angle_beta 90.00
_cell_angle_gamma 120.00
loop_
_atom_site_label
_atom_site_type_symbol
_atom_site_fract_x
_atom_site_fract_y
_atom_site_fract_z
In1 In 0.0000 0.0000 0.2482
Tc1 Tc 0.0000 0.0000 0.0000
Rh1 Rh 0.0000 0.0000 0.5000
```


Material: Sc4AgSe
Method: DFT, PBEsol
State: optimized geometry

formation energy (no corrections)	0.2071	eV/atom
N(E_F)	36.26	states/eV per cell
DFT total energy	-5.3898	eV per atom
magnetic moment	0.0	μB per cell

```
data_Sc4AgSe
_chemical_formula_sum 'Sc16 Ag4 Se4'
_space_group_name_H-M_alt 'F -4 3 m'
_space_group_IT_number 216
_space_group_name_Hall 'F -4 2 3'
_cell_length_a 8.018
_cell_length_b 8.018
_cell_length_c 8.018
_cell_angle_alpha 90.00
_cell_angle_beta 90.00
_cell_angle_gamma 90.00
loop_
_atom_site_label
_atom_site_type_symbol
_atom_site_fract_x
_atom_site_fract_y
_atom_site_fract_z
Sc1 Sc 0.125 0.125 0.125
Ag1 Ag 0.250 0.250 0.750
Se1 Se 0.000 0.000 0.500
```


Material: Cu2PtPb
Method: DFT, PBEsol
State: optimized geometry

formation energy from the elements	0.07	eV/atom
N(E_F)	3.29	states/eV per cell
DFT total energy	-4.8336	eV per atom
magnetic moment	0.0	μB per cell

```
data_Cu2PtPb
_chemical_formula_sum 'Cu4 Pt2 Pb2'
_space_group_name_H-M_alt 'I -4 m 2'
_space_group_IT_number 119
_space_group_name_Hall 'I -4 -2'
_cell_length_a 3.892
_cell_length_b 3.892
_cell_length_c 8.131
_cell_angle_alpha 90.00
_cell_angle_beta 90.00
_cell_angle_gamma 90.00
loop_
_atom_site_label
_atom_site_type_symbol
_atom_site_fract_x
_atom_site_fract_y
_atom_site_fract_z
Cu1 Cu 0.000 0.000 0.000
Cu2 Cu 0.000 0.500 0.250
Pt1 Pt 0.000 0.500 0.750
Pb1 Pb 0.000 0.000 0.500
```


Material: TaTlHg2
Method: DFT, PBEsol
State: optimized geometry

formation energy from the elements	0.44	eV/atom
N(E_F)	2.22	states/eV per cell
DFT total energy	-3.6428	eV per atom
magnetic moment	0.0	μB per cell

```
data_TaTlHg2
_chemical_formula_sum 'Ta1 Tl1 Hg2'
_space_group_name_H-M_alt 'P m m m'
_space_group_IT_number 47
_space_group_name_Hall '-P 2 2'
_cell_length_a 3.005
_cell_length_b 5.254
_cell_length_c 5.316
_cell_angle_alpha 90.00
_cell_angle_beta 90.00
_cell_angle_gamma 90.00
loop_
_atom_site_label
_atom_site_type_symbol
_atom_site_fract_x
_atom_site_fract_y
_atom_site_fract_z
Ta1 Ta 0.000 0.000 0.000
Tl1 Tl 0.500 0.500 0.000
Hg1 Hg 0.000 0.500 0.500
Hg2 Hg 0.500 0.000 0.500
```


Material: Li2TcPb
Method: DFT, PBEsol
State: optimized geometry

formation energy from the elements	0.58	eV/atom
N(E_F)	11.62	states/eV per cell
DFT total energy	-4.2206	eV per atom
magnetic moment	3.1	μB per cell

```
data_Li2TcPb
_chemical_formula_sum 'Li8 Tc4 Pb4'
_space_group_name_H-M_alt 'I -4 2 d'
_space_group_IT_number 122
_space_group_name_Hall 'I -4 2bw'
_cell_length_a 7.143
_cell_length_b 7.143
_cell_length_c 5.348
_cell_angle_alpha 90.00
_cell_angle_beta 90.00
_cell_angle_gamma 90.00
loop_
_atom_site_label
_atom_site_type_symbol
_atom_site_fract_x
_atom_site_fract_y
_atom_site_fract_z
Li1 Li 0.239 0.250 0.125
Tc1 Tc 0.000 0.000 0.000
Pb1 Pb 0.000 0.000 0.500
```


Material: ZnBP2H4NO8
Method: DFT, PBEsol
State: optimized geometry

N(E_F)	0.00	states/eV per cell
DFT total energy	-6.6564	eV per atom
magnetic moment	0.0	μB per cell

```
data_ZnBP2H4NO8
_chemical_formula_sum 'Zn2 B2 P4 H8 N2 O16'
_space_group_name_H-M_alt 'P -1'
_space_group_IT_number 2
_space_group_name_Hall '-P 1'
_cell_length_a 7.438
_cell_length_b 7.598
_cell_length_c 7.821
_cell_angle_alpha 61.24
_cell_angle_beta 77.14
_cell_angle_gamma 65.17
loop_
_atom_site_label
_atom_site_type_symbol
_atom_site_fract_x
_atom_site_fract_y
_atom_site_fract_z
Zn1 Zn 0.191 0.250 0.456
B1 B 0.304 0.914 0.003
P1 P 0.024 0.728 0.167
P2 P 0.465 0.908 0.300
H1 H 0.148 0.569 0.765
H2 H 0.261 0.751 0.615
H3 H 0.267 0.653 0.859
H4 H 0.397 0.486 0.749
N1 N 0.269 0.614 0.747
O1 O 0.006 0.786 0.331
O2 O 0.052 0.494 0.225
O3 O 0.161 0.131 0.968
O4 O 0.210 0.765 0.032
O5 O 0.277 0.005 0.401
O6 O 0.384 0.289 0.552
O7 O 0.419 0.820 0.177
O8 O 0.446 0.913 0.837
```


Material: BeFe3Ir
Method: DFT, PBEsol
State: optimized geometry

formation energy from the elements	0.56	eV/atom
N(E_F)	4.37	states/eV per cell
DFT total energy	-7.5809	eV per atom
magnetic moment	6.6	μB per cell

```
data_BeFe3Ir
_chemical_formula_sum 'Be1 Fe3 Ir1'
_space_group_name_H-M_alt 'P m -3 m'
_space_group_IT_number 221
_space_group_name_Hall '-P 4 2 3'
_cell_length_a 3.835
_cell_length_b 3.835
_cell_length_c 3.835
_cell_angle_alpha 90.00
_cell_angle_beta 90.00
_cell_angle_gamma 90.00
loop_
_atom_site_label
_atom_site_type_symbol
_atom_site_fract_x
_atom_site_fract_y
_atom_site_fract_z
Be1 Be 0.000 0.000 0.000
Fe1 Fe 0.000 0.000 0.500
Ir1 Ir 0.500 0.500 0.500
```


Material: AgAuSe3
Method: DFT, PBEsol
State: optimized geometry

formation energy (no corrections)	0.7124	eV/atom
N(E_F)	6.31	states/eV per cell
DFT total energy	-3.0448	eV per atom
magnetic moment	0.0	μB per cell

```
data_AgAuSe3
_chemical_formula_sum 'Ag1 Au1 Se3'
_space_group_name_H-M_alt 'P m -3 m'
_space_group_IT_number 221
_space_group_name_Hall '-P 4 2 3'
_cell_length_a 5.017
_cell_length_b 5.017
_cell_length_c 5.017
_cell_angle_alpha 90.00
_cell_angle_beta 90.00
_cell_angle_gamma 90.00
loop_
_atom_site_label
_atom_site_type_symbol
_atom_site_fract_x
_atom_site_fract_y
_atom_site_fract_z
Ag1 Ag 0.000 0.000 0.000
Au1 Au 0.500 0.500 0.500
Se1 Se 0.000 0.500 0.500
```


Material: SrLi2Tl2
Method: DFT, PBEsol
State: optimized geometry

formation energy from the elements	-0.28	eV/atom
N(E_F)	5.46	states/eV per cell
DFT total energy	-2.4900	eV per atom
magnetic moment	0.0	μB per cell

```
data_SrLi2Tl2
_chemical_formula_sum 'Sr2 Li4 Tl4'
_space_group_name_H-M_alt 'I 4/m m m'
_space_group_IT_number 139
_space_group_name_Hall '-I 4 2'
_cell_length_a 4.272
_cell_length_b 4.272
_cell_length_c 14.121
_cell_angle_alpha 90.00
_cell_angle_beta 90.00
_cell_angle_gamma 90.00
loop_
_atom_site_label
_atom_site_type_symbol
_atom_site_fract_x
_atom_site_fract_y
_atom_site_fract_z
Sr1 Sr 0.000 0.000 0.000
Li1 Li 0.000 0.500 0.250
Tl1 Tl 0.000 0.000 0.387
```


Material: ScAl3Co
Method: DFT, PBEsol
State: optimized geometry

formation energy from the elements	1.61	eV/atom
N(E_F)	7.16	states/eV per cell
DFT total energy	-3.7118	eV per atom
magnetic moment	1.3	μB per cell

```
data_ScAl3Co
_chemical_formula_sum 'Sc1 Al3 Co1'
_space_group_name_H-M_alt 'P m -3 m'
_space_group_IT_number 221
_space_group_name_Hall '-P 4 2 3'
_cell_length_a 5.002
_cell_length_b 5.002
_cell_length_c 5.002
_cell_angle_alpha 90.00
_cell_angle_beta 90.00
_cell_angle_gamma 90.00
loop_
_atom_site_label
_atom_site_type_symbol
_atom_site_fract_x
_atom_site_fract_y
_atom_site_fract_z
Sc1 Sc 0.000 0.000 0.000
Al1 Al 0.000 0.000 0.500
Co1 Co 0.500 0.500 0.500
```


Material: NaTaCu2Pt
Method: DFT, PBEsol
State: optimized geometry

formation energy from the elements	0.99	eV/atom
N(E_F)	4.12	states/eV per cell
DFT total energy	-4.9292	eV per atom
magnetic moment	0.0	μB per cell

```
data_NaTaCu2Pt
_chemical_formula_sum 'Na1 Ta1 Cu2 Pt1'
_space_group_name_H-M_alt 'P 4/m m m'
_space_group_IT_number 123
_space_group_name_Hall '-P 4 2'
_cell_length_a 4.811
_cell_length_b 4.811
_cell_length_c 4.847
_cell_angle_alpha 90.00
_cell_angle_beta 90.00
_cell_angle_gamma 90.00
loop_
_atom_site_label
_atom_site_type_symbol
_atom_site_fract_x
_atom_site_fract_y
_atom_site_fract_z
Na1 Na 0.000 0.000 0.000
Ta1 Ta 0.500 0.500 0.500
Cu1 Cu 0.000 0.500 0.500
Pt1 Pt 0.500 0.500 0.000
```


Material: AlTlCo2
Method: DFT, PBEsol
State: optimized geometry

formation energy from the elements	0.11	eV/atom
N(E_F)	5.32	states/eV per cell
DFT total energy	-5.4438	eV per atom
magnetic moment	0.7	μB per cell

```
data_AlTlCo2
_chemical_formula_sum 'Al2 Tl2 Co4'
_space_group_name_H-M_alt 'I 4/m m m'
_space_group_IT_number 139
_space_group_name_Hall '-I 4 2'
_cell_length_a 4.239
_cell_length_b 4.239
_cell_length_c 5.983
_cell_angle_alpha 90.00
_cell_angle_beta 90.00
_cell_angle_gamma 90.00
loop_
_atom_site_label
_atom_site_type_symbol
_atom_site_fract_x
_atom_site_fract_y
_atom_site_fract_z
Al1 Al 0.000 0.000 0.000
Tl1 Tl 0.000 0.000 0.500
Co1 Co 0.000 0.500 0.250
```